Entry 1:
Here is an optimized crystal structure of CaFe2As from Alexandria via LeMat-Bulk. Energies are from GGA-PBE.

DFT total energy: -5.73 eV per atom
Calculated formation energy: 0.7 eV/f.u.
Density of states at the Fermi level: 3.095 states/eV/f.u.

a = 6.3946 Å, b = 6.3946 Å, c = 6.3946 Å
α = 90.00°, β = 90.00°, γ = 90.00°
Closest atoms and distances in Å follow each position.
Space group F-43m (No. 216)
Inequivalent atoms, fractional coordinates:
1 Ca 0.0000 0.0000 0.0000 (multiplicity 4)  4 Fe 2.77, 4 As 2.77
2 Fe 0.0000 0.0000 0.5000 (multiplicity 4)  4 As 2.77, 4 Fe 2.77
3 Fe 0.2500 0.2500 0.2500 (multiplicity 4)  4 Fe 2.77, 4 Ca 2.77
4 As 0.2500 0.2500 0.7500 (multiplicity 4)  4 Fe 2.77, 4 Ca 2.77

---

Entry 2:
Here is an optimized crystal structure of PrMgZnSn from Alexandria via LeMat-Bulk. Energies are from GGA-PBE.

DFT total energy: -3.23 eV per atom
Calculated formation energy: -1.3 eV/f.u.
Density of states at the Fermi level: 3.186 states/eV/f.u.

a = 7.3182 Å, b = 7.3182 Å, c = 7.3182 Å
α = 90.00°, β = 90.00°, γ = 90.00°
Closest atoms and distances in Å follow each position.
Space group F-43m (No. 216)
Inequivalent atoms, fractional coordinates:
1 Pr 0.0000 0.0000 0.0000 (multiplicity 4)  4 Sn 3.17, 4 Zn 3.17
2 Mg 0.0000 0.0000 0.5000 (multiplicity 4)  4 Sn 3.17, 4 Zn 3.17
3 Zn 0.2500 0.2500 0.7500 (multiplicity 4)  4 Pr 3.17, 4 Mg 3.17
4 Sn 0.2500 0.2500 0.2500 (multiplicity 4)  4 Pr 3.17, 4 Mg 3.17

---

What is the calculated formation energy in the second record?
-1.3 eV/f.u.

---

Which formula does entry 1 have?
CaFe2As

---

DFT total energy of number 2 (PrMgZnSn)?
-3.23 eV per atom

---

Number 1 is which compound?
CaFe2As